The following is a PBE-GGA calculation of an optimized crystal structure of NbSnB3, from Alexandria via LeMat-Bulk.

```
data_NbSnB3
_space_group_name_H-M_alt 'P m -3 m'
_space_group_IT_number 221
_space_group_name_Hall '-P 4 2 3'
_cell_length_a 4.3027
_cell_length_b 4.3027
_cell_length_c 4.3027
_cell_angle_alpha 90.00
_cell_angle_beta 90.00
_cell_angle_gamma 90.00
loop_
_atom_site_label
_atom_site_type_symbol
_atom_site_fract_x
_atom_site_fract_y
_atom_site_fract_z
_atom_site_occupancy
Nb1 Nb 0.0000 0.0000 0.0000 1
Sn1 Sn 0.5000 0.5000 0.5000 1
B1 B 0.0000 0.5000 0.5000 1
```

Calculated values
crystal system = cubic
size of the total moment = 0.0 μB per cell
raw total energy = -4.510 eV per atom
ΔH_f (0 K) = 2311 meV/atom
E above lowest polymorph = 490 kJ/mol of formula units